# CsCoAsO4 | Alexandria via LeMat-Bulk | PBE with a Hubbard U | relaxed
# * crystal system: monoclinic
# * density of states at the Fermi level: 0.000 states/eV/cell
# * E_tot: -5.722 eV/atom
# * spin magnetization: 5.91 Bohr magnetons per cell
data_CsCoAsO4
_space_group_name_H-M_alt 'P 1 21/m 1'
_space_group_IT_number 11
_space_group_name_Hall '-P 2yb'
_cell_length_a 5.429
_cell_length_b 5.801
_cell_length_c 8.468
_cell_angle_alpha 90.00
_cell_angle_beta 96.62
_cell_angle_gamma 90.00
loop_
_atom_site_label
_atom_site_type_symbol
_atom_site_fract_x
_atom_site_fract_y
_atom_site_fract_z
Cs1 Cs 0.250 0.250 0.146
Co1 Co 0.142 0.750 0.482
As1 As 0.337 0.250 0.671
O1 O 0.118 0.024 0.649
O2 O 0.477 0.750 0.155
O3 O 0.497 0.250 0.506